Entry 1
The following is a DFT calculation (GGA-PBE) of crystalline HoNiB4 at its relaxed geometry.

POSCAR file:
```
HoNiB4
1.0
-3.762 3.762 4.248
3.762 -3.762 4.248
3.762 3.762 -4.248
Ho Ni B
4 4 16
direct
0.203 0.203 0.000 Ho
0.250 0.750 0.500 Ho
0.750 0.250 0.500 Ho
0.797 0.797 0.000 Ho
0.271 0.500 0.771 Ni
0.500 0.271 0.771 Ni
0.500 0.729 0.229 Ni
0.729 0.500 0.229 Ni
0.111 0.275 0.387 B
0.111 0.725 0.836 B
0.114 0.114 0.533 B
0.114 0.581 0.000 B
0.275 0.111 0.387 B
0.275 0.889 0.164 B
0.419 0.419 0.533 B
0.419 0.886 0.000 B
0.581 0.114 0.000 B
0.581 0.581 0.467 B
0.725 0.111 0.836 B
0.725 0.889 0.613 B
0.886 0.419 0.000 B
0.886 0.886 0.467 B
0.889 0.275 0.164 B
0.889 0.725 0.613 B
```

Computed properties:
density of states at the Fermi level: 6.384 states/eV per cell
SG: I4/mmm

***

Entry 2
The following is a DFT calculation (GGA-PBE) of crystalline HoNiB4 at its relaxed geometry.

POSCAR file:
```
HoNiB4
1.0
3.632 -4.644 0.000
3.632 4.644 0.000
0.000 0.000 3.408
Ho Ni B
2 2 8
direct
0.200 0.800 0.000 Ho
0.800 0.200 0.000 Ho
0.323 0.323 0.000 Ni
0.677 0.677 0.000 Ni
0.121 0.432 0.500 B
0.127 0.127 0.500 B
0.408 0.592 0.500 B
0.432 0.121 0.500 B
0.568 0.879 0.500 B
0.592 0.408 0.500 B
0.873 0.873 0.500 B
0.879 0.568 0.500 B
```

Computed properties:
density of states at the Fermi level: 3.194 states/eV per cell
SG: Cmmm

***

The most stable of them is entry 1.